Here is a relaxed structure of CaY2H2 from Alexandria. Energies are from PBE.

Calculated values
* distance to the lowest polymorph of the same formula: 120 meV per atom
* SG: I4/mmm
* calculated total energy: -4.25 eV/atom

Unit cell a=4.460 b=4.460 c=7.255 alpha=72.10 beta=72.10 gamma=90.00
Sites, in units of the cell vectors:
Y 0.750 0.250 0.500
H 0.706 0.706 0.588
Ca 0.000 0.000 0.000
H 0.294 0.294 0.412
Y 0.250 0.750 0.500